Record 1
VASP calculation (GGA-PBE) on crystalline HfHN3 at its relaxed geometry.

Unit cell a=4.204 b=4.204 c=4.204 alpha=90.00 beta=90.00 gamma=90.00
Fractional positions:
Hf (0.000, 0.000, 0.000)
H (0.500, 0.500, 0.500)
N (0.000, 0.000, 0.500)
N (0.000, 0.500, 0.000)
N (0.500, 0.000, 0.000)

Values from the calculation:
Symmetry: Pm-3m
VASP energy, eV per cell: -30.63

Record 2
VASP calculation (GGA-PBE) on crystalline AlZn2Ni at its relaxed geometry.

Unit cell a=4.223 b=4.223 c=4.223 alpha=60.00 beta=60.00 gamma=60.00
Fractional positions:
Al (0.000, 0.000, 0.000)
Zn (0.250, 0.250, 0.250)
Zn (0.500, 0.500, 0.500)
Ni (0.750, 0.750, 0.750)

Values from the calculation:
Symmetry: F-43m
Energy of formation, eV per atom: -0.17
VASP energy, eV per cell: -12.74

Record 3
VASP calculation (GGA-PBE) on crystalline InP2ClO at its relaxed geometry.

Unit cell a=5.216 b=5.216 c=4.026 alpha=90.00 beta=90.00 gamma=90.00
Fractional positions:
In (0.000, 0.000, 0.000)
P (0.000, 0.500, 0.000)
P (0.500, 0.000, 0.000)
Cl (0.500, 0.500, 0.500)
O (0.000, 0.000, 0.500)

Values from the calculation:
Energy relative to the lowest polymorph listed for this composition, meV per atom: 582.2
Symmetry: P4/mmm
VASP energy, eV per cell: -16.66
Formation energy from raw total energies, eV/atom: 0.7410

Record 4
VASP calculation (GGA-PBE) on crystalline Cu2SbSe2 at its relaxed geometry.

Unit cell a=6.268 b=6.268 c=6.268 alpha=141.21 beta=141.21 gamma=56.03
Fractional positions:
Cu (0.110, 0.110, 0.000)
Cu (0.890, 0.890, 0.000)
Sb (0.500, 0.500, 0.000)
Se (0.250, 0.750, 0.500)
Se (0.750, 0.250, 0.500)

Values from the calculation:
Energy relative to the lowest polymorph listed for this composition, meV per atom: 328.3
Symmetry: I4/mmm
VASP energy, eV per cell: -17.85
Formation energy from raw total energies, eV/atom: 0.2861